The following is a DFT calculation (PBE) of an optimized crystal structure of Sr2Ca2Zn.

The space group is P4/mbm (No. 127) and the conventional cell measures 8.307, 8.307 and 6.431 Å, with angles of 90.00, 90.00 and 90.00 degrees. The asymmetric unit holds Sr at (0.159, 0.341, 0.000), Ca at (0.165, 0.665, 0.500) and Zn at (0.000, 0.000, 0.000).

The calculation puts the uncorrected energy at -15.734 eV for the cell shown. As for the density of states at the Fermi level: 4.23 states/eV/f.u. The formation energy is 0.8 eV per formula unit. For the total magnetization, the calculation gives 0.00 μB/f.u. As for the excess energy over the best structure of this formula in the dataset: 0.2263 eV/atom.

The following is a DFT calculation (PBE) of an optimized crystal structure of CdCo2Rh.

The space group is I4/mmm (No. 139) and the conventional cell measures 3.832, 3.832 and 7.678 Å, with angles of 90.00, 90.00 and 90.00 degrees. The asymmetric unit holds Cd at (0.000, 0.000, 0.000), Co at (0.000, 0.500, 0.250) and Rh at (0.000, 0.000, 0.500).

The calculation puts the uncorrected energy at -42.904 eV for the cell shown. As for the density of states at the Fermi level: 6.81 states/eV/f.u. The formation energy is 1.0 eV per formula unit. For the total magnetization, the calculation gives 3.94 μB/f.u.

The following is a DFT calculation (PBE) of an optimized crystal structure of TaGaGeO6.

The space group is P-31c (No. 163) and the conventional cell measures 5.0026, 5.0026 and 8.6741 Å, with angles of 90.00, 90.00 and 120.00 degrees. The asymmetric unit holds Ta at (0.3333, 0.6667, 0.2500), Ga at (0.3333, 0.6667, 0.7500), Ge at (0.0000, 0.0000, 0.0000) and O at (0.0038, 0.3266, 0.1246).

The calculation puts the uncorrected energy at -134.234 eV for the cell shown. As for the density of states at the Fermi level: 0.00 states/eV/f.u. The calculation puts the uncorrected formation energy at -1.986 eV per atom. For the total magnetization, the calculation gives 0.00 μB/f.u.

The following is a DFT calculation (PBE) of an optimized crystal structure of Cd2GePd2.

The space group is P4/mbm (No. 127) and the conventional cell measures 7.903, 7.903 and 3.040 Å, with angles of 90.00, 90.00 and 90.00 degrees. The asymmetric unit holds Cd at (0.145, 0.355, 0.000), Ge at (0.000, 0.000, 0.000) and Pd at (0.151, 0.651, 0.500).

The calculation puts the uncorrected energy at -34.685 eV for the cell shown. As for the density of states at the Fermi level: 1.76 states/eV/f.u. The formation energy is -0.5 eV per formula unit. For the total magnetization, the calculation gives 0.00 μB/f.u. As for the excess energy over the best structure of this formula in the dataset: 0.1939 eV/atom.

The following is a DFT calculation (PBE) of an optimized crystal structure of HgCl2F8.

The space group is C2/m (No. 12) and the conventional cell measures 12.794, 5.423 and 5.609 Å, with angles of 90.00, 91.97 and 90.00 degrees. The asymmetric unit holds Hg at (0.000, 0.000, 0.000), Cl at (0.226, 0.500, 0.466), F at (0.065, 0.250, 0.213), F at (0.156, 0.500, 0.723) and F at (0.199, 0.000, 0.792).

The calculation puts the uncorrected energy at -52.541 eV for the cell shown. As for the density of states at the Fermi level: 3.99 states/eV/f.u. The calculation puts the uncorrected formation energy at -0.664 eV per atom. For the total magnetization, the calculation gives 0.00 μB/f.u. As for the excess energy over the best structure of this formula in the dataset: 0.1652 eV/atom.

The following is a DFT calculation (PBE) of an optimized crystal structure of SrCdNiP2.

The space group is P4/mmm (No. 123) and the conventional cell measures 5.444, 5.444 and 4.960 Å, with angles of 90.00, 90.00 and 90.00 degrees. The asymmetric unit holds Sr at (0.000, 0.000, 0.000), Cd at (0.500, 0.500, 0.500), Ni at (0.000, 0.000, 0.500) and P at (0.000, 0.500, 0.000).

The calculation puts the uncorrected energy at -12.398 eV for the cell shown. As for the density of states at the Fermi level: 6.35 states/eV/f.u. The formation energy is 6.8 eV per formula unit. For the total magnetization, the calculation gives 0.82 μB/f.u.

The following is a DFT calculation (PBE) of an optimized crystal structure of LiTbZnNi.

The space group is F-43m (No. 216) and the conventional cell measures 6.446, 6.446 and 6.446 Å, with angles of 90.00, 90.00 and 90.00 degrees. The asymmetric unit holds Li at (0.000, 0.000, 0.000), Tb at (0.250, 0.250, 0.250), Zn at (0.250, 0.250, 0.750) and Ni at (0.000, 0.000, 0.500).

The calculation puts the uncorrected energy at -57.509 eV for the cell shown. As for the density of states at the Fermi level: 4.44 states/eV/f.u. The formation energy is -0.8 eV per formula unit. For the total magnetization, the calculation gives 0.00 μB/f.u.

The following is a DFT calculation (PBE) of an optimized crystal structure of LiMnIn2.

The space group is I-42d (No. 122) and the conventional cell measures 4.342, 4.342 and 19.203 Å, with angles of 90.00, 90.00 and 90.00 degrees. The asymmetric unit holds Li at (0.000, 0.000, 0.000), Mn at (0.000, 0.000, 0.500) and In at (0.248, 0.250, 0.625).

The calculation puts the uncorrected energy at -61.569 eV for the cell shown. As for the density of states at the Fermi level: 2.70 states/eV/f.u. The formation energy is 1.2 eV per formula unit. For the total magnetization, the calculation gives 3.86 μB/f.u.